# GGA-PBE Er4TmAg, relaxed
# energy relative to the elements: -46 kJ/mol of formula units
# spin magnetization: 0.0 μB/f.u.
# polymorph energy (0 for the lowest one): 0.000 eV per atom
# density of states at the Fermi level: 7.47 states/eV per cell
# raw total energy: -4.342 eV/atom
data_Er4TmAg
_cell_length_a 3.498
_cell_length_b 3.498
_cell_length_c 13.824
_cell_angle_alpha 90.00
_cell_angle_beta 90.00
_cell_angle_gamma 90.00
_space_group_name_H-M_alt 'P 4/m m m'
_space_group_IT_number 123
_space_group_name_Hall '-P 4 2'
loop_
_atom_site_label
_atom_site_fract_x
_atom_site_fract_y
_atom_site_fract_z
_atom_site_occupancy
Er1 0.000 0.000 0.139 1
Er2 0.500 0.500 0.321 1
Tm1 0.000 0.000 0.500 1
Ag1 0.500 0.500 0.000 1